(1)
A plane-wave DFT calculation with PBE was carried out for a relaxed ErTmTcNi crystal.

Unit cell a=6.7206 b=6.7206 c=6.7206 alpha=90.00 beta=90.00 gamma=90.00
Space group F-43m (No. 216)
One atom of each set of equivalent atoms:
Er 0.0000 0.0000 0.0000
Tm 0.0000 0.0000 0.5000
Tc 0.2500 0.2500 0.2500
Ni 0.2500 0.2500 0.7500

## Properties
formation energy from the elements = -0.1824 eV/atom
uncorrected energy = -103.645 eV/cell
volume = 19.0 Å³/atom
M_tot = 0.000 Bohr magnetons per cell



(2)
A plane-wave DFT calculation with PBE was carried out for a relaxed Tl2SiPb crystal.

Unit cell a=6.7909 b=6.7909 c=12.2862 alpha=90.00 beta=90.00 gamma=90.00
Space group I-42d (No. 122)
One atom of each set of equivalent atoms:
Tl 0.1984 0.2500 0.1250
Si 0.0000 0.0000 0.0000
Pb 0.0000 0.0000 0.5000

## Properties
uncorrected energy = -47.395 eV/cell
volume = 35.4 Å³/atom
E_form (uncorrected) = 504 meV/atom
distance to the lowest polymorph of the same formula = 232 meV per atom
M_tot = 0.000 Bohr magnetons per cell



(3)
A plane-wave DFT calculation with PBE was carried out for a relaxed Tl2HgPtBr6 crystal.

Unit cell a=7.4376 b=7.4376 c=51.8126 alpha=90.00 beta=90.00 gamma=120.00
Space group R-3m (No. 166, hexagonal axes)
One atom of each set of equivalent atoms:
Tl 0.0000 0.0000 0.1461
Tl 0.0000 0.0000 0.3148
Hg 0.0000 0.0000 0.4085
Pt 0.0000 0.0000 0.0000
Pt 0.0000 0.0000 0.5000
Br 0.0151 0.5075 0.1389
Br 0.0159 0.5079 0.6951

## Properties
uncorrected energy = -156.340 eV/cell
volume = 41.4 Å³/atom
E_form (uncorrected) = -494 meV/atom
M_tot = 0.000 Bohr magnetons per cell



(4)
A plane-wave DFT calculation with PBE was carried out for a relaxed Cs2GeH crystal.

Unit cell a=8.9065 b=8.9065 c=9.7844 alpha=90.00 beta=90.00 gamma=90.00
Space group I-42d (No. 122)
One atom of each set of equivalent atoms:
Cs 0.1760 0.7500 0.1250
Ge 0.0000 0.0000 0.5000
H 0.0000 0.0000 0.0000

## Properties
uncorrected energy = -33.719 eV/cell
volume = 48.5 Å³/atom
distance to the lowest polymorph of the same formula = 292 meV per atom
M_tot = 12.017 Bohr magnetons per cell